Version a
## Li4SbS4 (PBE)

Data for an optimized crystal structure of Li4SbS4.

abc: 6.905 6.905 7.960
angles: 90.00 90.00 98.82
Fractional positions:
Li  0.847  0.153  0.500
Li  0.847  0.153  0.000
Li  0.424  0.118  0.750
Li  0.882  0.576  0.250
Li  0.576  0.882  0.250
Li  0.118  0.424  0.750
Li  0.153  0.847  0.000
Li  0.153  0.847  0.500
Sb  0.640  0.640  0.750
Sb  0.360  0.360  0.250
S  0.693  0.243  0.250
S  0.757  0.307  0.750
S  0.791  0.791  0.009
S  0.209  0.209  0.509
S  0.791  0.791  0.491
S  0.209  0.209  0.991
S  0.307  0.757  0.750
S  0.243  0.693  0.250

Computed properties:
total moment	0.0	μB per cell
SG	Cmcm
crystal system	orthorhombic

Version b
## Li4SbS4 (PBE)

Data for an optimized crystal structure of Li4SbS4.

abc: 6.104 6.104 7.076
angles: 115.55 115.55 90.00
Site moments in Bohr magnetons follow the coordinates.
Fractional positions:
Li  0.500  0.000  0.000  0.00
Li  0.000  0.500  0.000  0.00
Li  0.277  0.277  0.553  0.02
Li  0.723  0.723  0.447  0.02
Sb  0.000  0.000  0.000  0.15
S  0.639  0.639  0.744  0.12
S  0.361  0.895  0.256  0.12
S  0.105  0.105  0.744  0.12
S  0.895  0.361  0.256  0.12

Computed properties:
total moment	1.0	μB per cell
SG	I-42m
crystal system	tetragonal

It is version a that is the most stable of them.

Version a
## LiSb3S (PBE)

Data for an optimized crystal structure of LiSb3S.

abc: 4.951 4.951 4.951
angles: 90.00 90.00 90.00
Fractional positions:
Sb  0.000  0.500  0.000
Sb  0.000  0.000  0.500
Sb  0.500  0.000  0.000
S  0.500  0.500  0.500
Li  0.000  0.000  0.000

Computed properties:
total moment	0.0	μB per cell
SG	Pm-3m
crystal system	cubic

Version b
## LiSb3S (PBE)

Data for an optimized crystal structure of LiSb3S.

abc: 5.273 5.273 5.273
angles: 90.00 90.00 90.00
Fractional positions:
Sb  0.000  0.500  0.000
Sb  0.000  0.000  0.500
Sb  0.500  0.000  0.000
S  0.000  0.000  0.000
Li  0.500  0.500  0.500

Computed properties:
total moment	0.0	μB per cell
SG	Pm-3m
crystal system	cubic

It is version b that is the most stable of them.

Version a
## LiSbTe2S (PBE)

Data for an optimized crystal structure of LiSbTe2S.

abc: 4.839 4.839 5.365
angles: 90.00 90.00 90.00
Fractional positions:
Sb  0.000  0.000  0.500
S  0.500  0.500  0.500
Te  0.000  0.500  0.000
Te  0.500  0.000  0.000
Li  0.000  0.000  0.000

Computed properties:
total moment	0.0	μB per cell
SG	P4/mmm
crystal system	tetragonal

Version b
## LiSbTe2S (PBE)

Data for an optimized crystal structure of LiSbTe2S.

abc: 5.358 5.358 5.262
angles: 90.00 90.00 90.00
Site moments in Bohr magnetons follow the coordinates.
Fractional positions:
Sb  0.000  0.000  0.500  0.29
S  0.000  0.000  0.000  0.01
Te  0.000  0.500  0.000  0.07
Te  0.500  0.000  0.000  0.07
Li  0.500  0.500  0.500  0.00

Computed properties:
total moment	1.0	μB per cell
SG	P4/mmm
crystal system	tetragonal

It is version b that is the most stable of them.